*i*
First-principles (GGA-PBE) data for a relaxed KNaCa2Ag crystal, as listed in Alexandria via LeMat-Bulk.

Computed properties:
N(E_F) (states/eV/cell): 3.80
ρ (g/cm3): 1.97

```
KNaCa2Ag
1.0
5.9137 0.0000 0.0000
0.0000 5.9137 0.0000
0.0000 0.0000 6.0434
Na Ca K Ag
1 2 1 1
Cartesian
0.0000 0.0000 3.0217
0.0000 2.9569 0.0000
2.9569 0.0000 0.0000
2.9569 2.9569 3.0217
0.0000 0.0000 0.0000
```

*ii*
First-principles (GGA-PBE) data for a relaxed KNaCa2Ag crystal, as listed in Alexandria via LeMat-Bulk.

Computed properties:
N(E_F) (states/eV/cell): 3.63
ρ (g/cm3): 1.85

```
KNaCa2Ag
1.0
-2.6511 1.4964 -5.0574
0.0632 -5.6510 -1.7052
-5.7428 -0.8929 2.7461
Na Ca K Ag
1 2 1 1
Cartesian
-4.1653 -2.5237 -2.0082
0.0316 -2.8255 -0.8526
-1.3255 0.7482 -2.5287
-2.8714 -0.4464 1.3731
0.0000 0.0000 0.0000
```

Relative energy of each structure, in kJ/mol of atoms: *i* 0.0; *ii* 4.1.

*i*
First-principles (GGA-PBE) data for a relaxed Ca2LaAg2 crystal, as listed in Alexandria via LeMat-Bulk.

Computed properties:
N(E_F) (states/eV/cell): 9.09
ρ (g/cm3): 4.87

```
Ca2LaAg2
1.0
-3.2320 6.0887 -4.2939
-7.4318 -2.3034 2.3276
0.2919 2.6880 3.5919
Ca Ag La
4 4 2
Cartesian
-5.3331 0.8182 2.6346
-8.2075 3.4725 0.8818
-5.0388 5.6551 -1.0091
-2.1645 3.0008 0.7438
-7.7030 0.2636 0.4286
-7.4775 3.8787 -2.2951
-2.9607 3.5217 -2.3949
-3.1863 -0.0934 0.3288
0.0000 0.0000 0.0000
-5.3319 1.8927 -0.9831
```

*ii*
First-principles (GGA-PBE) data for a relaxed Ca2LaAg2 crystal, as listed in Alexandria via LeMat-Bulk.

Computed properties:
N(E_F) (states/eV/cell): 5.80
ρ (g/cm3): 4.55

```
Ca2LaAg2
1.0
5.4670 0.0000 0.0000
0.0000 5.4670 0.0000
2.7335 2.7335 5.3091
Ca Ag La
2 2 1
Cartesian
2.7335 2.7335 1.6361
5.4670 5.4670 3.6730
5.4670 2.7335 2.6545
2.7335 5.4670 2.6545
0.0000 0.0000 0.0000
```

*iii*
First-principles (GGA-PBE) data for a relaxed Ca2LaAg2 crystal, as listed in Alexandria via LeMat-Bulk.

Computed properties:
N(E_F) (states/eV/cell): 13.22
ρ (g/cm3): 5.20

```
Ca2LaAg2
1.0
8.9860 0.0000 0.0000
0.0000 8.9860 0.0000
0.0000 0.0000 3.4394
Ca Ag La
4 4 2
Cartesian
3.3088 7.8018 0.0000
7.8018 5.6772 0.0000
5.6772 1.1842 0.0000
1.1842 3.3088 0.0000
1.4959 5.9888 1.7197
5.9888 7.4901 1.7197
7.4901 2.9971 1.7197
2.9971 1.4959 1.7197
0.0000 0.0000 0.0000
4.4930 4.4930 0.0000
```

*iv*
First-principles (GGA-PBE) data for a relaxed Ca2LaAg2 crystal, as listed in Alexandria via LeMat-Bulk.

Computed properties:
N(E_F) (states/eV/cell): 5.15
ρ (g/cm3): 4.77

```
Ca2LaAg2
1.0
4.6919 0.0000 0.0000
0.0000 4.6919 0.0000
2.3459 2.3459 6.8755
Ca Ag La
2 2 1
Cartesian
4.6919 2.3459 3.4378
2.3459 4.6919 3.4378
2.3459 2.3459 1.3751
4.6919 4.6919 5.5004
0.0000 0.0000 0.0000
```

Relative energy of each structure, in kJ/mol of atoms: *i* 0.0; *ii* 26.3; *iii* 11.3; *iv* 12.7.